1.
Material: Ca2CoSb
Method: DFT, PBE
State: relaxed Values from VASP.

Geometry as Quantum ESPRESSO input:
```
&SYSTEM
  ibrav = 0, nat = 4, ntyp = 3
/
ATOMIC_SPECIES
Ca 40.08 Ca.upf
Co 58.93 Co.upf
Sb 121.76 Sb.upf
ATOMIC_POSITIONS angstrom
Ca 0.000 0.000 1.687
Ca 0.000 0.000 5.932
Co 1.734 1.860 0.000
Sb 1.734 1.860 3.809
CELL_PARAMETERS angstrom
3.468 0.000 0.000
0.000 3.721 0.000
0.000 0.000 7.618
```

Results
total DFT energy (no corrections) = -15.83 eV per cell
DOS at the Fermi energy = 0.975 states/eV/atom
space-group type = No. 47

2.
Material: CaCo2Sb
Method: DFT, PBE
State: relaxed Values from VASP.

Geometry as Quantum ESPRESSO input:
```
&SYSTEM
  ibrav = 0, nat = 4, ntyp = 3
/
ATOMIC_SPECIES
Ca 40.08 Ca.upf
Co 58.93 Co.upf
Sb 121.76 Sb.upf
ATOMIC_POSITIONS angstrom
Ca 0.000 0.000 0.000
Co 0.000 2.221 1.683
Co 2.221 0.000 1.683
Sb 2.221 2.221 0.000
CELL_PARAMETERS angstrom
4.442 0.000 0.000
0.000 4.442 0.000
0.000 0.000 3.366
```

Results
total DFT energy (no corrections) = -19.85 eV per cell
DOS at the Fermi energy = 0.686 states/eV/atom
space-group type = No. 123

3.
Material: CaCo2Sb
Method: DFT, PBE
State: relaxed Values from VASP.

Geometry as Quantum ESPRESSO input:
```
&SYSTEM
  ibrav = 0, nat = 4, ntyp = 3
/
ATOMIC_SPECIES
Ca 40.08 Ca.upf
Co 58.93 Co.upf
Sb 121.76 Sb.upf
ATOMIC_POSITIONS angstrom
Ca 0.000 0.000 0.000
Co 0.000 0.000 3.416
Co 0.000 0.000 8.896
Sb 0.000 0.000 13.244
CELL_PARAMETERS angstrom
2.054 1.186 5.486
-2.054 1.186 5.486
0.000 -2.372 5.486
```

Results
total DFT energy (no corrections) = -21.18 eV per cell
DOS at the Fermi energy = 0.543 states/eV/atom
space-group type = No. 160

4.
Material: CaCoSb2
Method: DFT, PBE
State: relaxed Values from VASP.

Geometry as Quantum ESPRESSO input:
```
&SYSTEM
  ibrav = 0, nat = 4, ntyp = 3
/
ATOMIC_SPECIES
Ca 40.08 Ca.upf
Co 58.93 Co.upf
Sb 121.76 Sb.upf
ATOMIC_POSITIONS angstrom
Ca 0.000 0.000 0.000
Co 2.324 2.324 0.000
Sb 0.000 2.324 2.087
Sb 2.324 0.000 2.087
CELL_PARAMETERS angstrom
4.648 0.000 0.000
0.000 4.648 0.000
0.000 0.000 4.174
```

Results
total DFT energy (no corrections) = -17.48 eV per cell
DOS at the Fermi energy = 1.173 states/eV/atom
space-group type = No. 123

5.
Material: Ca2CoSb
Method: DFT, PBE
State: relaxed Values from VASP.

Geometry as Quantum ESPRESSO input:
```
&SYSTEM
  ibrav = 0, nat = 4, ntyp = 3
/
ATOMIC_SPECIES
Ca 40.08 Ca.upf
Co 58.93 Co.upf
Sb 121.76 Sb.upf
ATOMIC_POSITIONS angstrom
Ca 0.000 0.000 0.000
Ca 1.738 1.738 3.210
Co 0.000 0.000 5.352
Sb 1.738 1.738 6.326
CELL_PARAMETERS angstrom
3.475 0.000 0.000
0.000 3.475 0.000
0.000 0.000 8.533
```

Results
total DFT energy (no corrections) = -15.62 eV per cell
DOS at the Fermi energy = 0.947 states/eV/atom
space-group type = No. 99

6.
Material: CaCoSb2
Method: DFT, PBE
State: relaxed Values from VASP.

Geometry as Quantum ESPRESSO input:
```
&SYSTEM
  ibrav = 0, nat = 4, ntyp = 3
/
ATOMIC_SPECIES
Ca 40.08 Ca.upf
Co 58.93 Co.upf
Sb 121.76 Sb.upf
ATOMIC_POSITIONS angstrom
Ca 0.000 0.000 0.000
Co 0.000 0.000 3.839
Sb 2.060 0.000 2.343
Sb 0.000 3.034 1.496
CELL_PARAMETERS angstrom
-2.060 3.034 3.839
2.060 -3.034 3.839
2.060 3.034 -3.839
```

Results
total DFT energy (no corrections) = -18.13 eV per cell
DOS at the Fermi energy = 0.823 states/eV/atom
space-group type = No. 71

7.
Material: CaCoSb2
Method: DFT, PBE
State: relaxed Values from VASP.

Geometry as Quantum ESPRESSO input:
```
&SYSTEM
  ibrav = 0, nat = 4, ntyp = 3
/
ATOMIC_SPECIES
Ca 40.08 Ca.upf
Co 58.93 Co.upf
Sb 121.76 Sb.upf
ATOMIC_POSITIONS angstrom
Ca 0.000 0.000 0.000
Co 1.567 0.000 2.371
Sb 0.298 2.010 3.218
Sb 2.836 2.010 1.523
CELL_PARAMETERS angstrom
5.133 0.000 0.000
0.000 4.020 0.000
-2.000 0.000 4.741
```

Results
total DFT energy (no corrections) = -18.46 eV per cell
DOS at the Fermi energy = 0.463 states/eV/atom
space-group type = No. 10

8.
Material: CaCoSb2
Method: DFT, PBE
State: relaxed Values from VASP.

Geometry as Quantum ESPRESSO input:
```
&SYSTEM
  ibrav = 0, nat = 8, ntyp = 3
/
ATOMIC_SPECIES
Ca 40.08 Ca.upf
Co 58.93 Co.upf
Sb 121.76 Sb.upf
ATOMIC_POSITIONS angstrom
Ca 0.000 0.000 0.000
Ca 0.000 3.913 1.576
Co 3.913 0.000 1.576
Co 0.000 0.000 3.151
Sb 1.956 -1.338 2.363
Sb 2.575 1.956 0.788
Sb 1.956 5.250 -0.788
Sb 1.338 1.956 3.939
CELL_PARAMETERS angstrom
-3.913 3.913 3.151
3.913 -3.913 3.151
3.913 3.913 -3.151
```

Results
total DFT energy (no corrections) = -36.89 eV per cell
DOS at the Fermi energy = 0.723 states/eV/atom
space-group type = No. 122

9.
Material: Ca2CoSb
Method: DFT, PBE
State: relaxed Values from VASP.

Geometry as Quantum ESPRESSO input:
```
&SYSTEM
  ibrav = 0, nat = 4, ntyp = 3
/
ATOMIC_SPECIES
Ca 40.08 Ca.upf
Co 58.93 Co.upf
Sb 121.76 Sb.upf
ATOMIC_POSITIONS angstrom
Ca 0.000 2.417 0.000
Ca 2.417 0.000 0.000
Co 0.000 0.000 2.100
Sb 2.417 2.417 2.100
CELL_PARAMETERS angstrom
4.834 0.000 0.000
0.000 4.834 0.000
0.000 0.000 4.200
```

Results
total DFT energy (no corrections) = -16.07 eV per cell
DOS at the Fermi energy = 0.633 states/eV/atom
space-group type = No. 123

10.
Material: CaCoSb2
Method: DFT, PBE
State: relaxed Values from VASP.

Geometry as Quantum ESPRESSO input:
```
&SYSTEM
  ibrav = 0, nat = 4, ntyp = 3
/
ATOMIC_SPECIES
Ca 40.08 Ca.upf
Co 58.93 Co.upf
Sb 121.76 Sb.upf
ATOMIC_POSITIONS angstrom
Ca 0.000 0.000 0.000
Co 2.305 0.000 3.287
Sb -0.038 0.000 4.408
Sb 4.647 0.000 2.166
CELL_PARAMETERS angstrom
3.500 -2.036 0.000
3.500 2.036 0.000
-2.391 0.000 6.574
```

Results
total DFT energy (no corrections) = -18.91 eV per cell
DOS at the Fermi energy = 0.629 states/eV/atom
space-group type = No. 12

11.
Material: CaCo2Sb
Method: DFT, PBE
State: relaxed Values from VASP.

Geometry as Quantum ESPRESSO input:
```
&SYSTEM
  ibrav = 0, nat = 4, ntyp = 3
/
ATOMIC_SPECIES
Ca 40.08 Ca.upf
Co 58.93 Co.upf
Sb 121.76 Sb.upf
ATOMIC_POSITIONS angstrom
Ca 0.000 0.000 0.000
Co 1.989 0.000 2.197
Co 0.000 0.000 4.394
Sb 0.000 1.989 2.197
CELL_PARAMETERS angstrom
-1.989 1.989 4.394
1.989 -1.989 4.394
1.989 1.989 -4.394
```

Results
total DFT energy (no corrections) = -19.48 eV per cell
DOS at the Fermi energy = 1.450 states/eV/atom
space-group type = No. 119

12.
Material: CaCo2Sb
Method: DFT, PBE
State: relaxed Values from VASP.

Geometry as Quantum ESPRESSO input:
```
&SYSTEM
  ibrav = 0, nat = 4, ntyp = 3
/
ATOMIC_SPECIES
Ca 40.08 Ca.upf
Co 58.93 Co.upf
Sb 121.76 Sb.upf
ATOMIC_POSITIONS angstrom
Ca 0.000 0.000 0.000
Co 0.805 2.114 1.392
Co 0.805 -2.114 1.392
Sb 3.041 0.000 0.000
CELL_PARAMETERS angstrom
3.041 -4.228 0.000
3.041 4.228 0.000
-1.432 0.000 2.784
```

Results
total DFT energy (no corrections) = -18.85 eV per cell
DOS at the Fermi energy = 1.079 states/eV/atom
space-group type = No. 12

- Which of these has the lowest DOS at the Fermi energy?
  number 7

- Which of these has the highest total DFT energy (no corrections)?
  number 5

Repeat the ninth record exactly.
Material: Ca2CoSb
Method: DFT, PBE
State: relaxed Values from VASP.

Geometry as Quantum ESPRESSO input:
```
&SYSTEM
  ibrav = 0, nat = 4, ntyp = 3
/
ATOMIC_SPECIES
Ca 40.08 Ca.upf
Co 58.93 Co.upf
Sb 121.76 Sb.upf
ATOMIC_POSITIONS angstrom
Ca 0.000 2.417 0.000
Ca 2.417 0.000 0.000
Co 0.000 0.000 2.100
Sb 2.417 2.417 2.100
CELL_PARAMETERS angstrom
4.834 0.000 0.000
0.000 4.834 0.000
0.000 0.000 4.200
```

Results
total DFT energy (no corrections) = -16.07 eV per cell
DOS at the Fermi energy = 0.633 states/eV/atom
space-group type = No. 123

- Which of these has the highest total DFT energy (no corrections)?
  number 5